## BeVTeF2 (PBE with a Hubbard U)

Data for BeVTeF2 after structural relaxation.

abc: 3.9141 3.9141 6.0250
angles: 90.00 90.00 90.00
Closest atoms and distances in Å follow each position.
Fractional positions:
Be 0.0000 0.0000 0.0000  4 Te 2.77
V 0.5000 0.5000 0.5000  4 F 1.96
Te 0.5000 0.5000 0.0000  4 Be 2.77, 2 V 3.01
F 0.0000 0.5000 0.5000  2 V 1.96
F 0.5000 0.0000 0.5000  2 V 1.96

Values from the calculation:
* VASP energy: -4.88 eV per atom
* magnetic moment: 2.7 μB per formula unit
* N(E_F): 0.407 states/eV/atom